a:
Below is crystalline Ba2ZnGe at its relaxed geometry, with properties calculated at the GGA-PBE level.

```
4
Lattice="5.681 -0.898 0.349 2.201 -5.124 -1.449 3.133 -0.535 -4.806" Properties=species:S:1:pos:R:3 pbc="T T T"
Ge 5.508 -3.279 -2.953
Ba 8.261 -4.919 -4.429
Ba 2.754 -1.640 -1.476
Zn 0.000 0.000 0.000
```

The calculation puts the density of states at the Fermi level at 0.2 states/eV/cell.


b:
Below is crystalline Ba2ZnGe at its relaxed geometry, with properties calculated at the GGA-PBE level.

```
8
Lattice="-4.455 -1.204 0.530 1.825 -4.587 4.917 -1.769 8.247 3.866" Properties=species:S:1:pos:R:3 pbc="T T T"
Ba -4.581 5.754 5.106
Ba -3.705 1.620 3.074
Ba -0.694 0.835 6.240
Ba 0.182 -3.300 4.208
Zn -3.602 2.691 6.375
Zn -0.797 -0.236 2.939
Ge -1.704 3.898 4.713
Ge -2.695 -1.443 4.601
```

The calculation puts the density of states at the Fermi level at 2.9 states/eV/cell.


c:
Below is crystalline Ba2ZnGe at its relaxed geometry, with properties calculated at the GGA-PBE level.

```
4
Lattice="-2.724 2.855 0.958 -1.354 -2.911 4.825 4.079 2.918 2.905" Properties=species:S:1:pos:R:3 pbc="T T T"
Ge -1.362 1.427 0.479
Ba 2.039 1.459 1.452
Ba -0.677 -1.456 2.412
Zn 0.000 1.430 4.344
```

The calculation puts the density of states at the Fermi level at 2.3 states/eV/cell.


d:
Below is crystalline Ba2ZnGe at its relaxed geometry, with properties calculated at the GGA-PBE level.

```
8
Lattice="6.163 0.000 0.000 0.000 6.163 0.000 3.082 3.082 9.655" Properties=species:S:1:pos:R:3 pbc="T T T"
Zn 3.082 3.082 0.000
Zn 3.082 6.163 4.827
Ge 0.000 0.000 0.000
Ge 6.163 3.082 4.827
Ba 4.622 4.542 7.241
Ba 7.704 7.784 7.241
Ba 1.460 4.622 2.414
Ba 4.703 1.541 2.414
```

The calculation puts the density of states at the Fermi level at 7.2 states/eV/cell.


b has the most favorable energy; the next structure is 1.6 kJ/mol of atoms above.


a:
Below is crystalline Ba2ZnGe3 at its relaxed geometry, with properties calculated at the GGA-PBE level.

```
12
Lattice="6.251 1.204 -2.080 -0.896 6.302 -2.080 -0.861 -1.208 9.010" Properties=species:S:1:pos:R:3 pbc="T T T"
Zn 1.214 1.701 4.632
Zn 3.279 4.597 0.218
Ge 4.730 2.934 -0.915
Ge 1.234 5.428 -0.915
Ge -0.237 3.365 5.766
Ge 0.613 0.859 2.340
Ge 3.259 0.871 5.766
Ge 3.880 5.440 2.511
Ba 0.460 4.424 2.425
Ba 1.279 1.792 -0.993
Ba 4.076 5.714 -3.167
Ba 4.033 1.875 2.425
```

The calculation puts the density of states at the Fermi level at 5.9 states/eV/cell.


b:
Below is crystalline Ba2ZnGe3 at its relaxed geometry, with properties calculated at the GGA-PBE level.

```
6
Lattice="-3.784 -1.729 2.849 2.706 -3.107 1.708 1.972 4.738 5.495" Properties=species:S:1:pos:R:3 pbc="T T T"
Zn 0.103 -0.875 4.068
Ge 0.766 0.718 5.916
Ge -1.544 -0.028 2.394
Ge -0.242 3.101 6.024
Ba 1.004 2.414 2.799
Ba 3.304 3.134 6.291
```

The calculation puts the density of states at the Fermi level at 2.3 states/eV/cell.


a has the most favorable energy; the next structure is 0.6 kJ/mol of atoms above.


a:
Below is crystalline Ba3Zn2Ge4 at its relaxed geometry, with properties calculated at the GGA-PBE level.

```
9
Lattice="4.439 0.000 0.000 -2.219 6.249 -0.636 0.000 0.356 9.108" Properties=species:S:1:pos:R:3 pbc="T T T"
Zn 2.219 1.529 2.472
Zn 0.000 5.076 6.000
Ge 0.000 3.938 8.264
Ge 0.000 0.893 3.469
Ge 2.219 5.712 5.003
Ge 2.219 2.667 0.209
Ba 2.219 2.256 5.906
Ba 0.000 0.000 0.000
Ba 0.000 4.350 2.566
```

The calculation puts the density of states at the Fermi level at 2.0 states/eV/cell.


b:
Below is crystalline Ba3Zn2Ge4 at its relaxed geometry, with properties calculated at the GGA-PBE level.

```
9
Lattice="4.365 0.000 0.000 -2.183 6.439 -0.249 0.000 -2.956 8.912" Properties=species:S:1:pos:R:3 pbc="T T T"
Ba 0.000 0.000 0.000
Ba 0.000 4.086 2.688
Ba 2.183 -0.603 5.975
Ge 2.183 2.631 0.359
Ge 2.183 2.954 5.041
Ge 0.000 0.853 8.304
Ge 0.000 0.529 3.622
Zn 0.000 2.004 5.929
Zn 2.183 1.480 2.734
```

The calculation puts the density of states at the Fermi level at 3.4 states/eV/cell.


a has the most favorable energy; the next structure is 6.3 kJ/mol of atoms above.